Entry 1:
Here is NaGe after structural relaxation from the Alexandria database. Energies are from PBE-GGA.

Cell and atoms, written as POSCAR:
```
NaGe
1.0
-0.7790 -2.6105 -6.0039
-0.6716 -5.9825 2.6884
-6.5124 0.9292 0.4409
Na Ge
4 4
Cartesian
-2.7160 -6.2125 -2.3764
-5.6364 -2.7566 -3.5002
-5.5827 -4.4426 0.8460
-1.9907 -1.9160 -0.7187
0.0000 0.0000 0.0000
-0.7253 -4.2965 -1.6578
-3.6457 -0.8407 -2.7815
-3.5920 -2.5266 1.5646
```

Values from the calculation:
As for the crystal system: cubic. The calculated formation energy is 0.95 eV per atom.

***

Entry 2:
Here is Ce6PuCd2Co after structural relaxation from the Alexandria database. Energies are from PBE-GGA.

Cell and atoms, written as POSCAR:
```
Ce6PuCd2Co
1.0
-5.2525 4.9578 0.6821
0.3136 -0.6575 7.2182
1.0683 5.8730 4.1359
Cd Ce Pu Co
2 6 1 1
Cartesian
-3.3267 6.4901 4.3843
-0.5439 3.6831 7.6519
-0.7756 3.9356 4.0416
-3.8059 3.4984 2.3799
-3.0950 6.2376 7.9945
-0.2150 6.9902 6.1895
-1.1330 0.8018 5.5204
-3.6556 3.1831 5.8466
-2.4694 2.1501 3.9501
0.0000 0.0000 0.0000
```

Values from the calculation:
As for the crystal system: tetragonal. The calculated formation energy is -0.24 eV per atom.

***

Entry 3:
Here is LiInCl2 after structural relaxation from the Alexandria database. Energies are from PBE-GGA.

Cell and atoms, written as POSCAR:
```
LiInCl2
1.0
8.6799 0.2446 -0.0334
7.0892 5.0145 0.0334
-7.8581 -2.7088 2.5129
Li Cl In
1 2 1
Cartesian
3.2434 2.3628 1.2732
4.4366 0.1105 1.2398
0.8745 0.2917 0.0000
7.2410 2.4149 0.0000
```

Values from the calculation:
As for the crystal system: orthorhombic. The calculation puts the formation energy (no corrections) at -4.77 eV/f.u. The energy relative to the lowest polymorph listed for this composition comes out at 112.5 meV per atom.

***

Entry 4:
Here is PrGaAu4 after structural relaxation from the Alexandria database. Energies are from PBE-GGA.

Cell and atoms, written as POSCAR:
```
PrGaAu4
1.0
-2.5758 5.7542 -0.3792
-2.8903 0.8630 -6.9740
-6.2968 0.1423 0.4685
Au Ga Pr
8 2 2
Cartesian
-7.8817 2.8138 -3.6546
-3.6502 4.1338 -0.1344
-6.1950 5.3577 -4.0388
-3.8812 3.9457 -3.2301
-5.5679 1.4018 -2.8458
-7.8964 5.0214 -1.4194
-5.2224 1.7627 0.2238
-3.8665 1.7381 -5.4652
-5.9125 3.1153 -5.3293
-5.8505 3.6442 -1.5554
-9.6266 5.5576 -5.4636
-2.1364 1.2019 -1.4210
```

Values from the calculation:
As for the crystal system: monoclinic. The energy relative to the lowest polymorph listed for this composition comes out at 0.0 meV per atom. The calculated formation energy is -0.47 eV per atom.

***

Entry 5:
Here is NaLiSnBi after structural relaxation from the Alexandria database. Energies are from PBE-GGA.

Cell and atoms, written as POSCAR:
```
NaLiSnBi
1.0
5.2175 0.0000 0.0000
2.6088 4.5185 0.0000
2.6088 1.5062 4.2601
Li Sn Na Bi
1 1 1 1
Cartesian
0.0000 0.0000 0.0000
2.6088 1.5062 1.0650
5.2175 3.0123 2.1300
7.8263 4.5185 3.1951
```

Values from the calculation:
As for the crystal system: cubic. The energy relative to the lowest polymorph listed for this composition comes out at 55.6 meV per atom. The calculated formation energy is -0.23 eV per atom.

***

Entry 6:
Here is Y2TaAu after structural relaxation from the Alexandria database. Energies are from PBE-GGA.

Cell and atoms, written as POSCAR:
```
Y2TaAu
1.0
-0.2455 2.3027 2.4693
-0.7811 -3.2325 2.9367
6.2057 -0.5084 1.0911
Ta Y Au
1 2 1
Cartesian
4.2304 -0.8535 3.5371
1.2471 -0.6091 3.0125
5.9731 -0.4893 1.0502
3.0371 -0.2488 0.5340
```

Values from the calculation:
As for the crystal system: orthorhombic. The energy relative to the lowest polymorph listed for this composition comes out at 275.9 meV per atom. The calculated formation energy is 0.11 eV per atom.

***

Computed total energy (eV per atom) in order:
-2.02; -6.13; -3.28; -3.95; -3.01; -6.90